This record from Alexandria describes a relaxed Ba3SbS6 crystal. The functional is PBE.

abc: 8.741 8.741 8.741
angles: 91.39 91.39 91.39
Fractional coordinates of all 20 atoms:
Ba 0.434 0.930 0.748
Ba 0.930 0.748 0.434
Ba 0.252 0.566 0.070
Ba 0.748 0.434 0.930
Ba 0.070 0.252 0.566
Ba 0.566 0.070 0.252
Sb 0.000 0.000 0.000
Sb 0.500 0.500 0.500
S 0.274 0.935 0.073
S 0.065 0.927 0.726
S 0.571 0.777 0.453
S 0.927 0.726 0.065
S 0.453 0.571 0.777
S 0.223 0.547 0.429
S 0.777 0.453 0.571
S 0.547 0.429 0.223
S 0.073 0.274 0.935
S 0.429 0.223 0.547
S 0.935 0.073 0.274
S 0.726 0.065 0.927

electronic total energy	-4.6076	eV per atom
Fermi-level density of states	24.29	states/eV per cell
formation energy (no corrections)	-1142	meV per atom

---

This record from Alexandria describes a relaxed Nd4PuH10 crystal. The functional is PBE.

abc: 3.845 3.845 15.882
angles: 83.05 83.05 60.00
Fractional coordinates of all 15 atoms:
Nd 0.399 0.399 0.802
Nd 0.800 0.800 0.601
Nd 0.200 0.200 0.399
Nd 0.601 0.601 0.198
Pu 0.000 0.000 0.000
H 0.951 0.951 0.147
H 0.150 0.150 0.550
H 0.551 0.551 0.348
H 0.349 0.349 0.953
H 0.750 0.750 0.751
H 0.651 0.651 0.047
H 0.850 0.850 0.450
H 0.250 0.250 0.249
H 0.049 0.049 0.853
H 0.449 0.449 0.652

electronic total energy	-5.0476	eV per atom
Fermi-level density of states	10.48	states/eV per cell

---

This record from Alexandria describes a relaxed Li2PbS2 crystal. The functional is PBE.

abc: 7.703 7.703 3.259
angles: 90.00 90.00 90.00
Fractional coordinates of all 10 atoms:
Pb 0.000 0.000 0.000
Pb 0.500 0.500 0.000
S 0.334 0.834 0.000
S 0.834 0.666 0.000
S 0.666 0.166 0.000
S 0.166 0.334 0.000
Li 0.128 0.628 0.500
Li 0.628 0.872 0.500
Li 0.872 0.372 0.500
Li 0.372 0.128 0.500

electronic total energy	-3.8504	eV per atom
Fermi-level density of states	4.04	states/eV per cell
E above lowest polymorph	199.1	meV per atom
formation energy (no corrections)	-692	meV per atom

---

This record from Alexandria describes a relaxed TiTlIr3 crystal. The functional is PBE.

abc: 4.876 4.876 4.876
angles: 90.00 90.00 90.00
Fractional coordinates of all 5 atoms:
Tl 0.000 0.000 0.000
Ir 0.000 0.500 0.000
Ir 0.000 0.000 0.500
Ir 0.500 0.000 0.000
Ti 0.500 0.500 0.500

electronic total energy	-5.2422	eV per atom
Fermi-level density of states	7.83	states/eV per cell
E above lowest polymorph	1106.3	meV per atom
formation energy from the elements	2127	meV per atom

---

This record from Alexandria describes a relaxed HoOsRu crystal. The functional is PBE.

abc: 5.232 5.334 5.334
angles: 61.47 60.63 60.63
Fractional coordinates of all 6 atoms:
Ho 0.877 0.373 0.373
Ho 0.123 0.627 0.627
Os 0.000 0.000 0.000
Os 0.500 0.000 0.000
Ru 0.500 0.500 0.000
Ru 0.500 0.000 0.500

electronic total energy	-8.6714	eV per atom
Fermi-level density of states	6.93	states/eV per cell
E above lowest polymorph	38.4	meV per atom
formation energy from the elements	-310	meV per atom

---

This record from Alexandria describes a relaxed Al2CuSi crystal. The functional is PBE.

abc: 2.775 2.775 9.279
angles: 90.00 90.00 122.26
Fractional coordinates of all 4 atoms:
Si 0.500 0.500 0.731
Al 0.000 0.000 0.996
Al 0.500 0.500 0.268
Cu 0.000 0.000 0.504

electronic total energy	-4.1032	eV per atom
Fermi-level density of states	1.66	states/eV per cell
formation energy (no corrections)	148	meV per atom

---

This record from Alexandria describes a relaxed La2TbY crystal. The functional is PBE.

abc: 5.825 5.825 5.825
angles: 60.00 60.00 60.00
Fractional coordinates of all 4 atoms:
Y 0.500 0.500 0.500
Tb 0.000 0.000 0.000
La 0.250 0.250 0.250
La 0.750 0.750 0.750

electronic total energy	-5.1527	eV per atom
Fermi-level density of states	7.24	states/eV per cell
E above lowest polymorph	76.2	meV per atom
formation energy from the elements	85	meV per atom

---

This record from Alexandria describes a relaxed ZnCrPt crystal. The functional is PBE.

abc: 4.177 4.177 4.177
angles: 60.00 60.00 60.00
Fractional coordinates of all 3 atoms:
Cr 0.000 0.000 0.000
Pt 0.500 0.500 0.500
Zn 0.750 0.750 0.750

electronic total energy	-5.5122	eV per atom
Fermi-level density of states	1.37	states/eV per cell
formation energy from the elements	134	meV per atom

---

This record from Alexandria describes a relaxed Ag4TeSe2 crystal. The functional is PBE.

abc: 6.890 6.198 9.006
angles: 104.76 110.53 94.89
Fractional coordinates of all 14 atoms:
Ag 0.948 0.224 0.713
Ag 0.410 0.703 0.820
Ag 0.919 0.216 0.295
Ag 0.729 0.773 0.672
Ag 0.306 0.133 0.256
Ag 0.452 0.680 0.311
Ag 0.487 0.175 0.783
Ag 0.709 0.535 0.101
Te 0.182 0.627 0.479
Te 0.942 0.826 0.014
Se 0.535 0.122 0.066
Se 0.561 0.320 0.565
Se 0.868 0.881 0.445
Se 0.202 0.534 0.979

electronic total energy	-3.0939	eV per atom
Fermi-level density of states	1.70	states/eV per cell
E above lowest polymorph	0.0	meV per atom
formation energy (no corrections)	-20	meV per atom

---

This record from Alexandria describes a relaxed BaPuI6 crystal. The functional is PBE.

abc: 8.116 8.116 12.147
angles: 90.61 90.61 73.73
Fractional coordinates of all 16 atoms:
Ba 0.017 0.983 0.250
Ba 0.983 0.017 0.750
Pu 0.000 0.500 0.500
Pu 0.500 0.000 0.000
I 0.281 0.614 0.397
I 0.719 0.386 0.603
I 0.386 0.719 0.103
I 0.614 0.281 0.897
I 0.867 0.444 0.276
I 0.133 0.556 0.724
I 0.556 0.133 0.224
I 0.444 0.867 0.776
I 0.122 0.205 0.000
I 0.878 0.795 0.000
I 0.795 0.878 0.500
I 0.205 0.122 0.500

electronic total energy	-4.3872	eV per atom
Fermi-level density of states	21.08	states/eV per cell
formation energy (no corrections)	-1193	meV per atom

---

This record from Alexandria describes a relaxed SrLiSb crystal. The functional is PBE.

abc: 4.764 4.764 7.440
angles: 90.00 90.00 90.00
Fractional coordinates of all 6 atoms:
Sr 0.000 0.500 0.680
Sr 0.500 0.000 0.320
Li 0.000 0.000 0.000
Li 0.500 0.500 0.000
Sb 0.000 0.500 0.222
Sb 0.500 0.000 0.778

electronic total energy	-3.5212	eV per atom
formation energy (no corrections)	-949	meV per atom

---

This record from Alexandria describes a relaxed InNiAg crystal. The functional is PBE.

abc: 2.940 4.336 4.495
angles: 90.00 90.00 90.00
Fractional coordinates of all 3 atoms:
In 0.000 0.500 0.500
Ni 0.500 0.000 0.500
Ag 0.000 0.000 0.000

electronic total energy	-3.7540	eV per atom
Fermi-level density of states	1.70	states/eV per cell
E above lowest polymorph	63.8	meV per atom
formation energy from the elements	36	meV per atom